The following is a PBE+U calculation of a relaxed NaHf2MoO crystal, from the Alexandria database.

Structure (extended XYZ):
```
5
Lattice="5.4610 0.0000 0.0000 0.0000 3.8565 0.0000 0.0000 0.0000 5.4610" Properties=species:S:1:pos:R:3 pbc="T T T"
Mo 0.0000 0.0000 0.0000
O 0.0000 1.9283 0.0000
Hf 2.7305 0.0000 0.0000
Hf 0.0000 0.0000 2.7305
Na 2.7305 1.9283 2.7305
```

**Space group**: P4/mmm (123)
**Calculated total energy**: -5.926 eV/atom